The following is a meta-GGA SCAN calculation of a PBEsol-optimized structure of RbSr2Mn, from the Alexandria database.

Calculated values
Energy relative to the elements   389 meV per atom
Volume   40.064 A^3/atom

Unit cell a=8.6223 b=8.6223 c=8.6223 alpha=90.00 beta=90.00 gamma=90.00
Closest atoms and distances in Å follow each position.
Space group Fm-3m (No. 225)
Inequivalent atoms, fractional coordinates:
Rb (0.0000, 0.0000, 0.0000) (multiplicity 4)  8 Sr 3.73
Sr (0.2500, 0.2500, 0.2500) (multiplicity 8)  4 Mn 3.73, 4 Rb 3.73
Mn (0.0000, 0.0000, 0.5000) (multiplicity 4)  8 Sr 3.73